## CaCeZn4 (GGA-PBE)

Data for crystalline CaCeZn4 at its relaxed geometry.

Its calculated density is 6.137 g/cm3. The distance to the lowest polymorph of the same formula is 0.000 eV per atom. The raw total energy comes out at -2.413 eV/atom. The volume comes out at 478 Å³/cell. The formation energy comes out at -241 meV per atom.

It has space group F-43m (No. 216), with a = 7.820 Å, b = 7.820 Å, c = 7.820 Å, α = 90.00°, β = 90.00° and γ = 90.00°. Symmetry generates all atoms from Ca at (0.000, 0.000, 0.000), Ce at (0.250, 0.250, 0.750) and Zn at (0.124, 0.124, 0.376).